No. 1
Computed, not measured: a relaxed Sc6BiP2Se3 crystal at the PBE-GGA level of DFT.

The structure in extended XYZ format:
```
12
Lattice="3.870 0.000 0.000 0.000 7.881 0.301 -1.935 -2.250 8.229" Properties=species:S:1:pos:R:3 pbc="T T T"
Sc 0.000 5.507 5.586
Se 0.000 5.849 2.914
Se 1.935 -0.218 5.616
Sc 0.000 1.904 5.482
Sc 0.000 2.104 0.291
Sc 1.935 0.125 2.944
Sc 1.935 3.528 8.239
Sc 1.935 3.728 3.048
Bi 1.935 0.000 0.000
Se 1.935 3.941 0.151
P 0.000 1.914 2.884
P 1.935 3.718 5.646
```

## Properties
DFT total energy (eV/atom): -6.69
Space group: C2/m (12)
D(E_F) (states/eV/f.u.): 5.7
ρ (Mg/m³): 5.091
V (A^3/atom): 21.13



No. 2
Computed, not measured: a relaxed NbCuMo2 crystal at the PBE-GGA level of DFT.

The structure in extended XYZ format:
```
8
Lattice="7.145 0.000 0.000 0.000 7.145 0.000 3.572 3.572 2.615" Properties=species:S:1:pos:R:3 pbc="T T T"
Mo 8.931 8.781 1.962
Nb 0.000 0.000 0.000
Mo 1.936 5.359 0.654
Cu 3.572 7.145 1.308
Mo 5.209 1.786 0.654
Nb 7.145 3.572 1.308
Mo 5.359 5.508 1.962
Cu 3.572 3.572 0.000
```

## Properties
DFT formation energy (meV/atom): 739.2
DFT total energy (eV/atom): -8.22
Space group: I-42d (122)
D(E_F) (states/eV/f.u.): 4.2
ρ (Mg/m³): 8.665
Energy above the lowest structure with this stoichiometry (eV per atom): 0.4162
V (A^3/atom): 16.69



No. 3
Computed, not measured: a relaxed ZnSeCl crystal at the PBE-GGA level of DFT.

The structure in extended XYZ format:
```
3
Lattice="3.427 0.000 0.000 -1.714 2.968 0.000 0.000 0.000 7.257" Properties=species:S:1:pos:R:3 pbc="T T T"
Zn 0.000 1.979 4.927
Se 1.714 0.989 3.194
Cl 0.000 0.000 6.393
```

## Properties
DFT total energy (eV/atom): -2.69
Space group: P3m1 (156)
D(E_F) (states/eV/f.u.): 1.4
ρ (Mg/m³): 4.045
V (A^3/atom): 24.61



No. 4
Computed, not measured: a relaxed Pr2GaFe crystal at the PBE-GGA level of DFT.

The structure in extended XYZ format:
```
4
Lattice="-2.198 2.581 -0.322 -2.946 -0.049 1.708 2.841 5.723 8.461" Properties=species:S:1:pos:R:3 pbc="T T T"
Pr -3.935 3.826 3.509
Fe 0.000 0.000 0.000
Pr 1.632 4.428 6.338
Ga -1.151 4.127 4.923
```

## Properties
DFT formation energy (meV/atom): 470.3
DFT total energy (eV/atom): -4.79
Space group: R-3m (166)
D(E_F) (states/eV/f.u.): 5.3
ρ (Mg/m³): 6.465
V (A^3/atom): 26.16



No. 5
Computed, not measured: a relaxed Tb6TeAs3Se2 crystal at the PBE-GGA level of DFT.

The structure in extended XYZ format:
```
12
Lattice="4.154 0.000 0.000 0.000 8.376 0.249 -2.077 -2.465 8.778" Properties=species:S:1:pos:R:3 pbc="T T T"
Tb 0.000 6.116 5.942
Se 2.077 3.942 6.002
As 0.000 6.153 3.102
Se 0.000 1.969 3.025
As 2.077 -0.242 5.926
Tb 2.077 4.132 3.032
Tb 0.000 1.779 5.995
Te 2.077 0.000 0.000
Tb 2.077 -0.205 3.085
Tb 0.000 6.107 0.215
As 2.077 4.188 0.125
Tb 2.077 -0.196 8.812
```

## Properties
DFT total energy (eV/atom): -5.96
Space group: C2/m (12)
D(E_F) (states/eV/f.u.): 4.5
ρ (Mg/m³): 7.894
V (A^3/atom): 25.66



No. 6
Computed, not measured: a relaxed Na2HfCu crystal at the PBE-GGA level of DFT.

The structure in extended XYZ format:
```
8
Lattice="-2.073 8.013 1.347 -2.994 0.539 -7.814 -4.949 3.505 -2.361" Properties=species:S:1:pos:R:3 pbc="T T T"
Na -5.775 5.865 -4.621
Na -7.982 10.082 -7.005
Na -3.480 2.651 -5.233
Na -2.794 5.516 -0.798
Cu -5.238 4.160 -6.705
Hf -4.778 7.897 -2.124
Cu -2.533 4.276 -3.234
Hf 0.000 0.000 0.000
```

## Properties
DFT formation energy (meV/atom): 853.7
DFT total energy (eV/atom): -3.32
Space group: I-42d (122)
D(E_F) (states/eV/f.u.): 3.4
ρ (Mg/m³): 5.073
Energy above the lowest structure with this stoichiometry (eV per atom): 0.0000
V (A^3/atom): 23.57



No. 7
Computed, not measured: a relaxed TbTm2Ti crystal at the PBE-GGA level of DFT.

The structure in extended XYZ format:
```
4
Lattice="3.390 0.000 0.000 1.695 2.936 0.000 1.695 0.979 10.805" Properties=species:S:1:pos:R:3 pbc="T T T"
Tm 1.695 0.979 8.358
Tb 3.390 1.957 5.394
Ti 3.390 1.957 0.012
Tm 1.695 0.979 2.443
```

## Properties
DFT formation energy (meV/atom): 177.8
DFT total energy (eV/atom): -5.19
Space group: R3m (160)
D(E_F) (states/eV/f.u.): 6.3
ρ (Mg/m³): 8.408
Energy above the lowest structure with this stoichiometry (eV per atom): 0.0293
V (A^3/atom): 26.89



No. 8
Computed, not measured: a relaxed MgSn2H crystal at the PBE-GGA level of DFT.

The structure in extended XYZ format:
```
4
Lattice="0.000 3.446 3.446 3.446 0.000 3.446 3.446 3.446 0.000" Properties=species:S:1:pos:R:3 pbc="T T T"
Mg 3.446 3.446 3.446
Sn 1.723 1.723 1.723
H 0.000 0.000 0.000
Sn 5.169 5.169 5.169
```

## Properties
DFT total energy (eV/atom): -2.86
Space group: Fm-3m (225)
D(E_F) (states/eV/f.u.): 2.6
ρ (Mg/m³): 5.331
Energy above the lowest structure with this stoichiometry (eV per atom): 0.0559
V (A^3/atom): 20.46